Entry from Alexandria: an optimized crystal structure of ScRe2Os2 (PBE-GGA).

Calculated values
ΔE to the lowest computed polymorph	0.00	eV/f.u.

Cell lengths 7.684, 7.684, 2.771 Å; angles 90.00, 90.00, 90.00 degrees
Space group P4/mbm (No. 127)
Inequivalent atoms, fractional coordinates:
1 Sc 0.000 0.000 0.000 x2
2 Re 0.122 0.378 0.000 x4
3 Os 0.171 0.671 0.500 x4

Entry from Alexandria: an optimized crystal structure of Hf2OsCl (PBE-GGA).

Calculated values
E_form (uncorrected)	0.2495	eV/atom
ΔE to the lowest computed polymorph	1.36	eV/f.u.

Cell lengths 5.512, 5.512, 13.378 Å; angles 90.00, 90.00, 90.00 degrees
Space group I-42d (No. 122)
Inequivalent atoms, fractional coordinates:
1 Hf 0.231 0.250 0.125 x8
2 Os 0.000 0.000 0.000 x4
3 Cl 0.000 0.000 0.500 x4

Entry from Alexandria: an optimized crystal structure of Li2CdAuF8 (PBE-GGA).

Calculated values
E_form (uncorrected)	-1.8947	eV/atom

Cell lengths 4.783, 4.806, 7.007 Å; angles 88.67, 86.65, 88.60 degrees
Space group P-1 (No. 2)
Inequivalent atoms, fractional coordinates:
1 Li 0.016 0.025 0.289 x2
2 Cd 0.500 0.500 0.500 x1
3 Au 0.500 0.500 0.000 x1
4 F 0.183 0.191 0.505 x2
5 F 0.214 0.214 0.019 x2
6 F 0.295 0.711 0.765 x2
7 F 0.298 0.700 0.220 x2

Entry from Alexandria: an optimized crystal structure of KYRu2 (PBE-GGA).

Calculated values
ΔE to the lowest computed polymorph	1.65	eV/f.u.

Cell lengths 3.1776, 3.1776, 29.3471 Å; angles 90.00, 90.00, 120.00 degrees
Space group R-3m (No. 166, hexagonal axes)
Inequivalent atoms, fractional coordinates:
1 K 0.0000 0.0000 0.0000 x3
2 Y 0.0000 0.0000 0.5000 x3
3 Ru 0.0000 0.0000 0.2398 x6

Calculated volume, 16.4; 25.4; 13.4; 21.4 Å³ per atom (same order as the records).
Calculated E, -107.3; -127.9; -45.7; -69.5 eV per cell (same order as the records).